A.
Entry from Alexandria via LeMat-Bulk: an optimized crystal structure of Ca2YPt (PBE).

abc: 4.400 4.400 10.784
angles: 90.00 90.00 90.00
Space group I4/mmm (No. 139)
Asymmetric unit:
Ca  0.000  0.500  0.250 [4 per cell]
Y  0.000  0.000  0.000 [2 per cell]
Pt  0.000  0.000  0.500 [2 per cell]

Values from the calculation:
The value obtained for the total magnetization is 0.0 μB/cell.


B.
Entry from Alexandria via LeMat-Bulk: an optimized crystal structure of Ca2YPt (PBE).

abc: 3.606 3.606 9.341
angles: 90.00 90.00 90.00
Space group P4mm (No. 99)
Asymmetric unit:
Ca  0.000  0.000  0.000 [1 per cell]
Ca  0.500  0.500  0.335 [1 per cell]
Y  0.500  0.500  0.686 [1 per cell]
Pt  0.000  0.000  0.533 [1 per cell]

Values from the calculation:
The value obtained for the total magnetization is 0.0 μB/cell.


It turns out B is the most stable, with the second structure 293 meV/atom higher.


A.
Entry from Alexandria via LeMat-Bulk: an optimized crystal structure of Ca2YPt (PBE).

abc: 12.912 3.685 5.576
angles: 90.00 115.57 90.00
Space group Cm (No. 8)
Asymmetric unit:
Ca  0.000  0.000  0.000 [2 per cell]
Ca  0.186  0.000  0.686 [2 per cell]
Y  0.372  0.000  0.371 [2 per cell]
Pt  0.196  0.500  0.195 [2 per cell]

Values from the calculation:
The value obtained for the total magnetization is 0.0 μB/cell.


B.
Entry from Alexandria via LeMat-Bulk: an optimized crystal structure of Ca2YPt (PBE).

abc: 6.250 11.000 3.575
angles: 90.00 118.63 90.00
Space group C2/m (No. 12)
Asymmetric unit:
Ca  0.250  0.250  0.000 [4 per cell]
Y  0.000  0.000  0.500 [2 per cell]
Pt  0.000  0.500  0.500 [2 per cell]

Values from the calculation:
The value obtained for the total magnetization is 0.0 μB/cell.


C.
Entry from Alexandria via LeMat-Bulk: an optimized crystal structure of Ca2YPt (PBE).

abc: 7.435 7.435 7.435
angles: 90.00 90.00 90.00
Space group Fm-3m (No. 225)
Asymmetric unit:
Ca  0.250  0.250  0.250 [8 per cell]
Y  0.000  0.000  0.000 [4 per cell]
Pt  0.000  0.000  0.500 [4 per cell]

Values from the calculation:
The value obtained for the total magnetization is 0.0 μB/cell.


D.
Entry from Alexandria via LeMat-Bulk: an optimized crystal structure of Ca2YPt (PBE).

abc: 5.568 12.159 4.074
angles: 90.00 90.00 90.00
Space group Cmmm (No. 65)
Asymmetric unit:
Ca  0.000  0.159  0.000 [4 per cell]
Y  0.000  0.500  0.500 [2 per cell]
Pt  0.000  0.000  0.500 [2 per cell]

Values from the calculation:
The value obtained for the total magnetization is 0.0 μB/cell.


It turns out A is the most stable, with the second structure 43 meV/atom higher.


A.
Entry from Alexandria via LeMat-Bulk: an optimized crystal structure of Ca2YPt (PBE).

abc: 9.669 9.669 5.662
angles: 90.00 90.00 90.00
Space group I-42d (No. 122)
Asymmetric unit:
Ca  0.141  0.250  0.125 [8 per cell]
Y  0.000  0.000  0.500 [4 per cell]
Pt  0.000  0.000  0.000 [4 per cell]

Values from the calculation:
The value obtained for the total magnetization is 0.0 μB/cell.


B.
Entry from Alexandria via LeMat-Bulk: an optimized crystal structure of Ca2YPt (PBE).

abc: 3.555 3.555 9.096
angles: 90.00 90.00 90.00
Space group P4/mmm (No. 123)
Asymmetric unit:
Ca  0.000  0.000  0.184 [2 per cell]
Y  0.500  0.500  0.500 [1 per cell]
Pt  0.500  0.500  0.000 [1 per cell]

Values from the calculation:
The value obtained for the total magnetization is 0.3 μB/cell.


C.
Entry from Alexandria via LeMat-Bulk: an optimized crystal structure of Ca2YPt (PBE).

abc: 3.8183 3.8183 30.1709
angles: 90.00 90.00 120.00
Space group R-3m (No. 166, hexagonal axes)
Asymmetric unit:
Ca  0.0000  0.0000  0.2259 [6 per cell]
Y  0.0000  0.0000  0.0000 [3 per cell]
Pt  0.0000  0.0000  0.5000 [3 per cell]

Values from the calculation:
The value obtained for the total magnetization is 2.5 μB/cell.


It turns out B is the most stable, with the second structure 60 meV/atom higher.


A.
Entry from Alexandria via LeMat-Bulk: an optimized crystal structure of Ca2YPt2 (PBE).

abc: 7.474 7.474 4.409
angles: 90.00 90.00 90.00
Space group P4/mbm (No. 127)
Asymmetric unit:
Ca  0.165  0.335  0.000 [4 per cell]
Y  0.000  0.000  0.500 [2 per cell]
Pt  0.132  0.632  0.500 [4 per cell]

Values from the calculation:
The value obtained for the total magnetization is 0.0 μB/cell.


B.
Entry from Alexandria via LeMat-Bulk: an optimized crystal structure of Ca2YPt2 (PBE).

abc: 4.343 4.343 13.079
angles: 90.00 90.00 90.00
Space group I4/mmm (No. 139)
Asymmetric unit:
Ca  0.000  0.500  0.250 [4 per cell]
Y  0.000  0.000  0.000 [2 per cell]
Pt  0.000  0.000  0.400 [4 per cell]

Values from the calculation:
The value obtained for the total magnetization is 0.0 μB/cell.


It turns out A is the most stable, with the second structure 220 meV/atom higher.


A.
Entry from Alexandria via LeMat-Bulk: an optimized crystal structure of CaZn2Pt2 (PBE).

abc: 4.054 4.054 11.641
angles: 90.00 90.00 90.00
Space group I4/mmm (No. 139)
Asymmetric unit:
Ca  0.000  0.000  0.000 [2 per cell]
Zn  0.000  0.500  0.250 [4 per cell]
Pt  0.000  0.000  0.388 [4 per cell]

Values from the calculation:
The value obtained for the total magnetization is 0.0 μB/cell.


B.
Entry from Alexandria via LeMat-Bulk: an optimized crystal structure of CaZn2Pt2 (PBE).

abc: 7.619 7.619 2.919
angles: 90.00 90.00 90.00
Space group P4/mbm (No. 127)
Asymmetric unit:
Ca  0.000  0.000  0.000 [2 per cell]
Zn  0.120  0.380  0.000 [4 per cell]
Pt  0.177  0.677  0.500 [4 per cell]

Values from the calculation:
The value obtained for the total magnetization is 0.0 μB/cell.


C.
Entry from Alexandria via LeMat-Bulk: an optimized crystal structure of CaZn2Pt2 (PBE).

abc: 4.132 4.132 22.122
angles: 90.00 90.00 90.00
Space group I4/mmm (No. 139)
Asymmetric unit:
Ca  0.000  0.000  0.130 [4 per cell]
Zn  0.000  0.000  0.319 [4 per cell]
Zn  0.000  0.500  0.000 [4 per cell]
Pt  0.000  0.000  0.431 [4 per cell]
Pt  0.000  0.500  0.250 [4 per cell]

Values from the calculation:
The value obtained for the total magnetization is 0.0 μB/cell.


It turns out C is the most stable, with the second structure 8 meV/atom higher.


A.
Entry from Alexandria via LeMat-Bulk: an optimized crystal structure of Ca2Zn2Pt (PBE).

abc: 9.993 5.917 7.715
angles: 90.00 104.95 90.00
Space group C2/c (No. 15)
Asymmetric unit:
Ca  0.153  0.109  0.147 [8 per cell]
Zn  0.119  0.383  0.491 [8 per cell]
Pt  0.000  0.320  0.750 [4 per cell]

Values from the calculation:
The value obtained for the total magnetization is 0.0 μB/cell.


B.
Entry from Alexandria via LeMat-Bulk: an optimized crystal structure of Ca2Zn2Pt (PBE).

abc: 5.718 5.718 7.322
angles: 90.00 90.00 90.00
Space group I4/mmm (No. 139)
Asymmetric unit:
Ca  0.000  0.500  0.250 [4 per cell]
Zn  0.000  0.000  0.160 [4 per cell]
Pt  0.000  0.000  0.500 [2 per cell]

Values from the calculation:
The value obtained for the total magnetization is 0.0 μB/cell.


C.
Entry from Alexandria via LeMat-Bulk: an optimized crystal structure of Ca2Zn2Pt (PBE).

abc: 10.739 4.217 11.062
angles: 90.00 113.45 90.00
Space group C2/m (No. 12)
Asymmetric unit:
Ca  0.001  0.000  0.335 [4 per cell]
Ca  0.198  0.000  0.124 [4 per cell]
Zn  0.014  0.500  0.889 [4 per cell]
Zn  0.165  0.500  0.551 [4 per cell]
Pt  0.206  0.500  0.325 [4 per cell]

Values from the calculation:
The value obtained for the total magnetization is 0.0 μB/cell.


It turns out C is the most stable, with the second structure 17 meV/atom higher.